Here is crystalline Pu2Th3PaP6 at its relaxed geometry from Alexandria. Energies are from PBE-GGA.

Cell lengths 7.0585, 7.0585, 7.0409 Å; angles 99.62, 99.62, 119.98 degrees
Atoms (fractional coordinates):
1 Pu 0.1667 0.8333 0.0000
2 Pu 0.8333 0.1667 0.0000
3 Th 0.0000 0.0000 0.5000
4 Th 0.3321 0.6679 0.5000
5 Th 0.6679 0.3321 0.5000
6 Pa 0.5000 0.5000 0.0000
7 P 0.0901 0.4205 0.7619
8 P 0.2494 0.2494 0.2391
9 P 0.4205 0.0901 0.7619
10 P 0.5795 0.9099 0.2381
11 P 0.7506 0.7506 0.7609
12 P 0.9099 0.5795 0.2381

Values from the calculation:
* size of the total moment: 10.78 μB per formula unit
* raw total energy: -109.61 eV for the cell shown
* SG: C2/m
* DFT formation energy: -1.3943 eV per atom



Here is crystalline Pu2ThPaP4 at its relaxed geometry from Alexandria. Energies are from PBE-GGA.

Cell lengths 6.9465, 4.0469, 7.0139 Å; angles 90.00, 109.64, 90.00 degrees
Atoms (fractional coordinates):
1 Pu 0.0000 0.0000 0.0000
2 Pu 0.0000 0.5000 0.5000
3 Th 0.5000 0.0000 0.5000
4 Pa 0.5000 0.5000 0.0000
5 P 0.2445 0.5000 0.2402
6 P 0.2492 0.0000 0.7572
7 P 0.7508 0.0000 0.2428
8 P 0.7555 0.5000 0.7598

Values from the calculation:
* size of the total moment: 11.06 μB per formula unit
* raw total energy: -77.72 eV for the cell shown
* SG: P2/m
* DFT formation energy: -1.3125 eV per atom



Here is crystalline Pu2PaTiP4 at its relaxed geometry from Alexandria. Energies are from PBE-GGA.

Cell lengths 6.6835, 3.9024, 6.7079 Å; angles 90.00, 109.53, 90.00 degrees
Atoms (fractional coordinates):
1 Pu 0.0000 0.0000 0.0000
2 Pu 0.0000 0.5000 0.5000
3 Pa 0.5000 0.0000 0.5000
4 Ti 0.5000 0.5000 0.0000
5 P 0.2620 0.5000 0.2365
6 P 0.2695 0.0000 0.7696
7 P 0.7305 0.0000 0.2304
8 P 0.7380 0.5000 0.7635

Values from the calculation:
* size of the total moment: 0.16 μB per formula unit
* raw total energy: -77.01 eV for the cell shown
* SG: P2/m
* DFT formation energy: -1.1640 eV per atom



Here is crystalline Pu3Pa2TiP6 at its relaxed geometry from Alexandria. Energies are from PBE-GGA.

Cell lengths 6.7913, 6.7913, 6.7762 Å; angles 99.68, 99.68, 120.11 degrees
Atoms (fractional coordinates):
1 Pu 0.0000 0.0000 0.0000
2 Pu 0.3293 0.6707 0.0000
3 Pu 0.6707 0.3293 0.0000
4 Pa 0.1657 0.8343 0.5000
5 Pa 0.8343 0.1657 0.5000
6 Ti 0.5000 0.5000 0.5000
7 P 0.1033 0.4223 0.2639
8 P 0.2639 0.2639 0.7418
9 P 0.4223 0.1033 0.2639
10 P 0.5777 0.8967 0.7361
11 P 0.7361 0.7361 0.2582
12 P 0.8967 0.5777 0.7361

Values from the calculation:
* size of the total moment: 5.36 μB per formula unit
* raw total energy: -116.57 eV for the cell shown
* SG: C2/m
* DFT formation energy: -1.1856 eV per atom